Below is crystalline CaTe at its relaxed geometry, with properties calculated at the PBE-GGA level. Values from VASP.

Quantum ESPRESSO input file:
```
&SYSTEM
  ibrav = 0, nat = 16, ntyp = 2
/
ATOMIC_SPECIES
Ca 40.08 Ca.upf
Te 127.60 Te.upf
CELL_PARAMETERS angstrom
-7.161 -6.485 0.482
4.240 -4.112 7.660
-4.930 5.882 5.886
ATOMIC_POSITIONS crystal
Ca 0.652 0.652 0.652
Te 0.167 0.167 0.833
Te 0.833 0.167 0.167
Ca 0.152 0.848 0.848
Ca 0.848 0.848 0.152
Ca 0.348 0.348 0.652
Te 0.667 0.667 0.333
Te 0.667 0.333 0.667
Te 0.333 0.333 0.333
Te 0.833 0.833 0.833
Ca 0.348 0.652 0.348
Te 0.333 0.667 0.667
Ca 0.152 0.152 0.152
Ca 0.848 0.152 0.848
Te 0.167 0.833 0.167
Ca 0.652 0.348 0.348
```

Results
- Raw total energy: -3.929 eV/atom
- Magnetic moment: 0.00 μB/cell
- Symmetry: I-43m, No. 217

=====

Below is crystalline CaTe at its relaxed geometry, with properties calculated at the PBE-GGA level. Values from VASP.

Quantum ESPRESSO input file:
```
&SYSTEM
  ibrav = 0, nat = 4, ntyp = 2
/
ATOMIC_SPECIES
Ca 40.08 Ca.upf
Te 127.60 Te.upf
CELL_PARAMETERS angstrom
4.394 0.000 0.000
-2.197 3.805 0.000
0.000 0.000 7.965
ATOMIC_POSITIONS crystal
Ca 0.333 0.667 0.250
Ca 0.667 0.333 0.750
Te 0.000 0.000 0.000
Te 0.000 0.000 0.500
```

Results
- Raw total energy: -4.085 eV/atom
- Magnetic moment: 0.00 μB/cell
- Symmetry: P6_3/mmc, No. 194

=====

Below is crystalline CaTe3 at its relaxed geometry, with properties calculated at the PBE-GGA level. Values from VASP.

Quantum ESPRESSO input file:
```
&SYSTEM
  ibrav = 0, nat = 4, ntyp = 2
/
ATOMIC_SPECIES
Te 127.60 Te.upf
Ca 40.08 Ca.upf
CELL_PARAMETERS angstrom
5.587 0.000 0.000
-1.866 5.267 0.000
-1.866 -2.641 4.557
ATOMIC_POSITIONS crystal
Te 0.500 0.500 0.000
Ca 0.000 0.000 0.000
Te 0.500 0.000 0.500
Te 0.000 0.500 0.500
```

Results
- Raw total energy: -3.555 eV/atom
- Magnetic moment: 0.00 μB/cell
- Symmetry: R-3m, No. 166

=====

Below is crystalline CaTe at its relaxed geometry, with properties calculated at the PBE-GGA level. Values from VASP.

Quantum ESPRESSO input file:
```
&SYSTEM
  ibrav = 0, nat = 4, ntyp = 2
/
ATOMIC_SPECIES
Ca 40.08 Ca.upf
Te 127.60 Te.upf
CELL_PARAMETERS angstrom
8.635 0.348 0.219
6.835 5.288 0.219
6.835 2.490 4.670
ATOMIC_POSITIONS crystal
Ca 0.889 0.889 0.889
Te 0.759 0.759 0.759
Te 0.240 0.240 0.240
Ca 0.111 0.111 0.111
```

Results
- Raw total energy: -3.930 eV/atom
- Magnetic moment: 0.00 μB/cell
- Symmetry: R-3m, No. 166